The following is a DFT calculation (PBE) of HoMg3Au after structural relaxation.

final energy = -57.8 eV for the cell shown

abc: 9.381 3.939 12.608
angles: 90.00 90.00 90.00
Space group Pnma (No. 62)
One atom of each set of equivalent atoms:
Ho  0.171  0.250  0.007
Mg  0.056  0.250  0.415
Mg  0.085  0.750  0.220
Mg  0.162  0.750  0.788
Au  0.148  0.250  0.626


The following is a DFT calculation (PBE) of NdHoMg2Au4 after structural relaxation.

final energy = -95.1 eV for the cell shown

abc: 4.9496 4.9496 24.3508
angles: 90.00 90.00 120.00
Space group R-3m (No. 166, hexagonal axes)
One atom of each set of equivalent atoms:
Nd  0.0000  0.0000  0.0000
Ho  0.0000  0.0000  0.5000
Mg  0.0000  0.0000  0.2490
Au  0.0000  0.0000  0.1288
Au  0.0000  0.0000  0.3796


The following is a DFT calculation (PBE) of NdHo2MgAu4 after structural relaxation.

final energy = -104.6 eV for the cell shown

abc: 4.9976 4.9976 25.2248
angles: 90.00 90.00 120.00
Space group R-3m (No. 166, hexagonal axes)
One atom of each set of equivalent atoms:
Nd  0.0000  0.0000  0.0000
Ho  0.0000  0.0000  0.2424
Mg  0.0000  0.0000  0.5000
Au  0.0000  0.0000  0.1235
Au  0.0000  0.0000  0.3855


For each record above, in turn, the calculated DOS at the Fermi energy values are 12.6 14.3 17.9 states/eV per cell.